Nd2CdSn4: relaxed, GGA-PBE.

```
Nd2CdSn4
1.0
-1.5305 1.9350 3.8281
2.6535 -2.7662 2.4592
7.1567 6.4916 -0.4201
Nd Sn Cd
2 4 1
direct
0.5000 0.0000 0.7618
0.0000 0.5000 0.2382
0.0000 0.5000 0.8072
0.5000 0.0000 0.1928
0.5000 0.5000 0.5000
0.0000 0.0000 0.5000
0.5000 0.5000 0.0000
```

Calculated values
crystal system = tetragonal
total energy = -4.20 eV/atom
energy of formation from the pure elements = -9.69 kcal/mol of atoms

BePt3Br: relaxed, GGA-PBE.

```
BePt3Br
1.0
4.7328 0.0000 0.0000
0.0000 4.7328 0.0000
0.0000 0.0000 4.7328
Be Pt Br
1 3 1
direct
0.5000 0.5000 0.5000
0.0000 0.0000 0.5000
0.0000 0.5000 0.0000
0.5000 0.0000 0.0000
0.0000 0.0000 0.0000
```

Calculated values
crystal system = cubic
total energy = -3.21 eV/atom
E_form (uncorrected) = 1.490 eV per atom
energy above the most stable polymorph in this dataset = 1.045 eV/atom

MnAl2Au: relaxed, GGA-PBE.

```
MnAl2Au
1.0
-2.8559 3.3091 2.3362
-4.5069 0.5676 -1.9825
2.7345 -3.8824 1.4192
Mn Au Al
1 1 2
direct
0.7500 0.2500 0.5000
0.5000 0.5000 0.0000
0.0000 0.0000 0.0000
0.2500 0.7500 0.5000
```

Calculated values
crystal system = tetragonal
total energy = -5.24 eV/atom
energy of formation from the pure elements = -5.84 kcal/mol of atoms

NdIn2Pb2: relaxed, GGA-PBE.

```
NdIn2Pb2
1.0
4.7334 0.0000 0.0000
0.0000 4.7159 0.0000
-2.3667 0.0000 12.7688
Pb Nd In
4 2 4
direct
0.8552 0.7500 0.7105
0.2500 0.7500 0.5000
0.7500 0.2500 0.5000
0.1448 0.2500 0.2895
0.3561 0.2500 0.7122
0.6439 0.7500 0.2878
0.5452 0.2500 0.0905
0.0454 0.7500 0.0908
0.4548 0.7500 0.9095
0.9546 0.2500 0.9092
```

Calculated values
crystal system = orthorhombic
total energy = -3.80 eV/atom
energy of formation from the pure elements = -6.09 kcal/mol of atoms

TiVN2: relaxed, GGA-PBE.

```
TiVN2
1.0
-2.9263 -2.1559 0.4682
-1.7933 0.0135 3.1960
-3.3474 1.4758 0.2166
N Ti V
2 1 1
direct
0.2500 0.2500 0.2500
0.7500 0.7500 0.7500
0.0000 0.0000 0.0000
0.5000 0.5000 0.5000
```

Calculated values
crystal system = cubic
total energy = -9.11 eV/atom
E_form (uncorrected) = -0.691 eV per atom

Y2TaGa2: relaxed, GGA-PBE.

```
Y2TaGa2
1.0
3.5477 0.0000 0.0000
0.0000 3.5477 0.0000
1.7739 1.7739 9.5704
Ga Y Ta
2 2 1
direct
0.2500 0.7500 0.5000
0.7500 0.2500 0.5000
0.6049 0.6049 0.7902
0.3951 0.3951 0.2098
0.0000 0.0000 0.0000
```

Calculated values
crystal system = tetragonal
total energy = -5.98 eV/atom
energy of formation from the pure elements = 4.32 kcal/mol of atoms
energy above the most stable polymorph in this dataset = 0.460 eV/atom

Calculated total magnetic moment (μB/cell), listed in the same order as above: 0.00 0.00 2.59 0.00 0.00 0.00